{
  "formula": "MgTc2P2",
  "functional": "GGA-PBE",
  "state": "optimized geometry",
  "total_energy_ev_per_fu": -34.2,
  "formation_energy_ev_per_atom": -0.22,
  "spacegroup": "P4/mbm, No. 127",
  "mass_density_g_cm3": 6.5,
  "e_above_lowest_polymorph_mev_per_atom": 103,
  "cell": [[-1.723, -4.204, 5.291], [1.386, -5.564, -3.970], [2.807, 0.030, 0.938]],
  "species": ["P", "P", "P", "P", "Mg", "Mg", "Tc", "Tc", "Tc", "Tc"],
  "frac_coords": [[0.150, 0.650, 0.500], [0.650, 0.850, 0.500], [0.850, 0.350, 0.500], [0.350, 0.150, 0.500], [0.000, 0.000, 0.000], [0.500, 0.500, 0.000], [0.356, 0.856, 0.000], [0.856, 0.644, 0.000], [0.644, 0.144, 0.000], [0.144, 0.356, 0.000]]
}


{
  "formula": "MgTc3P",
  "functional": "GGA-PBE",
  "state": "optimized geometry",
  "total_energy_ev_per_fu": -36.6,
  "formation_energy_ev_per_atom": 0.30,
  "spacegroup": "Pm-3m, No. 221",
  "mass_density_g_cm3": 6.8,
  "e_above_lowest_polymorph_mev_per_atom": 0,
  "cell": [[4.406, 0.000, 0.000], [0.000, 4.406, 0.000], [0.000, 0.000, 4.406]],
  "species": ["P", "Mg", "Tc", "Tc", "Tc"],
  "frac_coords": [[0.000, 0.000, 0.000], [0.500, 0.500, 0.500], [0.000, 0.500, 0.000], [0.000, 0.000, 0.500], [0.500, 0.000, 0.000]]
}


{
  "formula": "MgTc3P",
  "functional": "GGA-PBE",
  "state": "optimized geometry",
  "total_energy_ev_per_fu": -27.2,
  "formation_energy_ev_per_atom": 2.18,
  "spacegroup": "Pm-3m, No. 221",
  "mass_density_g_cm3": 6.3,
  "e_above_lowest_polymorph_mev_per_atom": 1878,
  "cell": [[-2.959, 1.950, 2.783], [-2.611, -3.667, -0.206], [2.176, -1.747, 3.538]],
  "species": ["P", "Mg", "Tc", "Tc", "Tc"],
  "frac_coords": [[0.500, 0.500, 0.500], [0.000, 0.000, 0.000], [0.000, 0.500, 0.000], [0.000, 0.000, 0.500], [0.500, 0.000, 0.000]]
}


{
  "formula": "MgTc2P2",
  "functional": "GGA-PBE",
  "state": "optimized geometry",
  "total_energy_ev_per_fu": -34.3,
  "formation_energy_ev_per_atom": -0.23,
  "spacegroup": "I4/mmm, No. 139",
  "mass_density_g_cm3": 6.1,
  "e_above_lowest_polymorph_mev_per_atom": 89,
  "cell": [[-2.361, 2.445, -0.865], [-2.331, -1.487, 2.157], [-0.317, 4.094, 5.330]],
  "species": ["P", "P", "Mg", "Tc", "Tc"],
  "frac_coords": [[0.750, 0.250, 0.500], [0.250, 0.750, 0.500], [0.000, 0.000, 0.000], [0.375, 0.375, 0.249], [0.625, 0.625, 0.751]]
}


{
  "formula": "Mg2Tc2P",
  "functional": "GGA-PBE",
  "state": "optimized geometry",
  "total_energy_ev_per_fu": -30.5,
  "formation_energy_ev_per_atom": -0.23,
  "spacegroup": "P4/mbm, No. 127",
  "mass_density_g_cm3": 5.5,
  "cell": [[6.061, 0.000, 0.000], [0.000, 6.061, 0.000], [0.000, 0.000, 4.562]],
  "species": ["P", "P", "Mg", "Mg", "Mg", "Mg", "Tc", "Tc", "Tc", "Tc"],
  "frac_coords": [[0.000, 0.000, 0.000], [0.500, 0.500, 0.000], [0.165, 0.665, 0.500], [0.665, 0.835, 0.500], [0.835, 0.335, 0.500], [0.335, 0.165, 0.500], [0.355, 0.855, 0.000], [0.855, 0.645, 0.000], [0.645, 0.145, 0.000], [0.145, 0.355, 0.000]]
}


{
  "formula": "MgTiTcP2",
  "functional": "GGA-PBE",
  "state": "optimized geometry",
  "total_energy_ev_per_fu": -27.8,
  "formation_energy_ev_per_atom": 0.57,
  "spacegroup": "P4/mmm, No. 123",
  "mass_density_g_cm3": 3.8,
  "cell": [[4.671, 0.000, 0.000], [0.000, 4.615, 0.000], [0.000, 0.000, 4.671]],
  "species": ["P", "P", "Mg", "Tc", "Ti"],
  "frac_coords": [[0.000, 0.000, 0.500], [0.500, 0.000, 0.000], [0.500, 0.500, 0.500], [0.000, 0.500, 0.000], [0.000, 0.000, 0.000]]
}


{
  "formula": "MgZrTcP2",
  "functional": "GGA-PBE",
  "state": "optimized geometry",
  "total_energy_ev_per_fu": -27.1,
  "formation_energy_ev_per_atom": 0.84,
  "spacegroup": "P4/mmm, No. 123",
  "mass_density_g_cm3": 3.8,
  "e_above_lowest_polymorph_mev_per_atom": 0,
  "cell": [[4.988, 0.000, 0.000], [0.000, 4.896, 0.000], [0.000, 0.000, 4.988]],
  "species": ["P", "P", "Mg", "Tc", "Zr"],
  "frac_coords": [[0.000, 0.000, 0.500], [0.500, 0.000, 0.000], [0.500, 0.500, 0.500], [0.000, 0.500, 0.000], [0.000, 0.000, 0.000]]
}


{
  "formula": "MgZrTcP2",
  "functional": "GGA-PBE",
  "state": "optimized geometry",
  "total_energy_ev_per_fu": -24.4,
  "formation_energy_ev_per_atom": 1.38,
  "spacegroup": "P4/mmm, No. 123",
  "mass_density_g_cm3": 4.3,
  "e_above_lowest_polymorph_mev_per_atom": 541,
  "cell": [[4.589, 0.000, 0.000], [0.000, 5.051, 0.000], [0.000, 0.000, 4.589]],
  "species": ["P", "P", "Mg", "Tc", "Zr"],
  "frac_coords": [[0.000, 0.000, 0.500], [0.500, 0.000, 0.000], [0.000, 0.000, 0.000], [0.500, 0.500, 0.500], [0.000, 0.500, 0.000]]
}